A plane-wave DFT calculation with PBE was carried out for crystalline DyTa3 at its relaxed geometry.

The value obtained for the calculated formation energy is 397 meV per atom. The calculation puts the total energy at -154.289 eV for the cell shown.

Cell and atoms, written as CIF:
```
data_DyTa3
_chemical_formula_sum 'Dy4 Ta12'
_cell_length_a 6.862
_cell_length_b 6.862
_cell_length_c 6.862
_cell_angle_alpha 90.00
_cell_angle_beta 90.00
_cell_angle_gamma 90.00
_space_group_name_H-M_alt 'F m -3 m'
_space_group_IT_number 225
_space_group_name_Hall '-F 4 2 3'
loop_
_atom_site_label
_atom_site_fract_x
_atom_site_fract_y
_atom_site_fract_z
_atom_site_occupancy
Dy1 0.000 0.000 0.000 1
Ta1 0.000 0.000 0.500 1
Ta2 0.250 0.250 0.250 1
```